The following is a GGA-PBE calculation of TaGa2Te8 after structural relaxation, from Alexandria via LeMat-Bulk.

Cell: 8.193 8.193 6.124 Å, 99.29 99.29 90.38°
Atoms (fractional coordinates):
Ta1 0.000 0.000 0.000
Ga1 0.216 0.216 0.669
Ga2 0.784 0.784 0.331
Te1 0.100 0.750 0.267
Te2 0.229 0.229 0.237
Te3 0.250 0.900 0.733
Te4 0.451 0.451 0.769
Te5 0.549 0.549 0.231
Te6 0.750 0.100 0.267
Te7 0.771 0.771 0.763
Te8 0.900 0.250 0.733

Space group   C2/m (12)
Crystal system   monoclinic
Energy relative to the elements, uncorrected   -0.0952 eV/atom
D(E_F)   0.3668 states/eV/atom